Record 1
# GGA-PBE VPd3Au, optimized geometry
data_VPd3Au
_symmetry_space_group_name_H-M 'P 1 21/m 1'
_symmetry_Int_Tables_number 11
_symmetry_space_group_name_Hall '-P 2yb'
_cell_length_a 4.916
_cell_length_b 4.554
_cell_length_c 7.318
_cell_angle_alpha 90.00
_cell_angle_beta 108.62
_cell_angle_gamma 90.00
loop_
_atom_site_label
_atom_site_type_symbol
_atom_site_fract_x
_atom_site_fract_y
_atom_site_fract_z
_atom_site_occupancy
V1 V 0.035 0.250 0.389 1
Pd1 Pd 0.159 0.750 0.995 1
Pd2 Pd 0.225 0.250 0.776 1
Pd3 Pd 0.351 0.750 0.410 1
Au1 Au 0.432 0.250 0.194 1
# ΔE_f in eV/f.u.: -0.73
# Energy above the lowest structure with this stoichiometry in eV per atom: 0.022

***

Record 2
# GGA-PBE AsPPdW2, optimized geometry
data_AsPPdW2
_symmetry_space_group_name_H-M 'P 4/m m m'
_symmetry_Int_Tables_number 123
_symmetry_space_group_name_Hall '-P 4 2'
_cell_length_a 4.629
_cell_length_b 4.629
_cell_length_c 4.609
_cell_angle_alpha 90.00
_cell_angle_beta 90.00
_cell_angle_gamma 90.00
loop_
_atom_site_label
_atom_site_type_symbol
_atom_site_fract_x
_atom_site_fract_y
_atom_site_fract_z
_atom_site_occupancy
As1 As 0.000 0.000 0.000 1
P1 P 0.000 0.000 0.500 1
Pd1 Pd 0.500 0.500 0.500 1
W1 W 0.000 0.500 0.000 1
# ΔE_f in eV/f.u.: 8.49

***

Record 3
# GGA-PBE KCu3Ag, optimized geometry
data_KCu3Ag
_symmetry_space_group_name_H-M 'P m -3 m'
_symmetry_Int_Tables_number 221
_symmetry_space_group_name_Hall '-P 4 2 3'
_cell_length_a 5.033
_cell_length_b 5.033
_cell_length_c 5.033
_cell_angle_alpha 90.00
_cell_angle_beta 90.00
_cell_angle_gamma 90.00
loop_
_atom_site_label
_atom_site_type_symbol
_atom_site_fract_x
_atom_site_fract_y
_atom_site_fract_z
_atom_site_occupancy
K1 K 0.000 0.000 0.000 1
Cu1 Cu 0.000 0.000 0.500 1
Ag1 Ag 0.500 0.500 0.500 1
# ΔE_f in eV/f.u.: 8.32
# Energy above the lowest structure with this stoichiometry in eV per atom: 1.078

***

Record 4
# GGA-PBE TeRu2Pb, optimized geometry
data_TeRu2Pb
_symmetry_space_group_name_H-M 'P 1 2/m 1'
_symmetry_Int_Tables_number 10
_symmetry_space_group_name_Hall '-P 2y'
_cell_length_a 4.528
_cell_length_b 3.272
_cell_length_c 5.571
_cell_angle_alpha 90.00
_cell_angle_beta 112.34
_cell_angle_gamma 90.00
loop_
_atom_site_label
_atom_site_type_symbol
_atom_site_fract_x
_atom_site_fract_y
_atom_site_fract_z
_atom_site_occupancy
Te1 Te 0.000 0.000 0.000 1
Ru1 Ru 0.000 0.000 0.500 1
Ru2 Ru 0.500 0.500 0.000 1
Pb1 Pb 0.500 0.500 0.500 1
# Uncorrected formation energy in kJ/mol of formula units: 177
# Energy above the lowest structure with this stoichiometry in eV per atom: 0.145

***

Record 5
# GGA-PBE VTc3Mo, optimized geometry
data_VTc3Mo
_symmetry_space_group_name_H-M 'P m -3 m'
_symmetry_Int_Tables_number 221
_symmetry_space_group_name_Hall '-P 4 2 3'
_cell_length_a 4.631
_cell_length_b 4.631
_cell_length_c 4.631
_cell_angle_alpha 90.00
_cell_angle_beta 90.00
_cell_angle_gamma 90.00
loop_
_atom_site_label
_atom_site_type_symbol
_atom_site_fract_x
_atom_site_fract_y
_atom_site_fract_z
_atom_site_occupancy
V1 V 0.000 0.000 0.000 1
Tc1 Tc 0.000 0.500 0.500 1
Mo1 Mo 0.500 0.500 0.500 1
# ΔE_f in eV/f.u.: 8.51
# Energy above the lowest structure with this stoichiometry in eV per atom: 0.472

***

Record 6
# GGA-PBE TmTiRe, optimized geometry
data_TmTiRe
_symmetry_space_group_name_H-M 'F d d d'
_symmetry_Int_Tables_number 70
_cell_length_a 4.508
_cell_length_b 9.840
_cell_length_c 21.049
_cell_angle_alpha 90.00
_cell_angle_beta 90.00
_cell_angle_gamma 90.00
loop_
_symmetry_equiv_pos_as_xyz
'x,y,z'
'-x,-y,-z'
'-x+1/4,-y+1/4,z'
'x+1/4,y+1/4,-z'
'x,-y+1/4,-z+1/4'
'-x,y+1/4,z+1/4'
'-x+1/4,y,-z+1/4'
'x+1/4,-y,z+1/4'
'x,y+1/2,z+1/2'
'-x,-y+1/2,-z+1/2'
'-x+1/4,-y+3/4,z+1/2'
'x+1/4,y+3/4,-z+1/2'
'x,-y+3/4,-z+3/4'
'-x,y+3/4,z+3/4'
'-x+1/4,y+1/2,-z+3/4'
'x+1/4,-y+1/2,z+3/4'
'x+1/2,y,z+1/2'
'-x+1/2,-y,-z+1/2'
'-x+3/4,-y+1/4,z+1/2'
'x+3/4,y+1/4,-z+1/2'
'x+1/2,-y+1/4,-z+3/4'
'-x+1/2,y+1/4,z+3/4'
'-x+3/4,y,-z+3/4'
'x+3/4,-y,z+3/4'
'x+1/2,y+1/2,z'
'-x+1/2,-y+1/2,-z'
'-x+3/4,-y+3/4,z'
'x+3/4,y+3/4,-z'
'x+1/2,-y+3/4,-z+1/4'
'-x+1/2,y+3/4,z+1/4'
'-x+3/4,y+1/2,-z+1/4'
'x+3/4,-y+1/2,z+1/4'
loop_
_atom_site_label
_atom_site_type_symbol
_atom_site_fract_x
_atom_site_fract_y
_atom_site_fract_z
_atom_site_occupancy
Tm1 Tm 0.125 0.274 0.125 1
Ti1 Ti 0.125 0.125 0.256 1
Re1 Re 0.125 0.125 0.554 1
# ΔE_f in eV/f.u.: 0.92
# Energy above the lowest structure with this stoichiometry in eV per atom: 0.394

***

Please write out number 6 again, unchanged.
# GGA-PBE TmTiRe, optimized geometry
data_TmTiRe
_symmetry_space_group_name_H-M 'F d d d'
_symmetry_Int_Tables_number 70
_cell_length_a 4.508
_cell_length_b 9.840
_cell_length_c 21.049
_cell_angle_alpha 90.00
_cell_angle_beta 90.00
_cell_angle_gamma 90.00
loop_
_symmetry_equiv_pos_as_xyz
'x,y,z'
'-x,-y,-z'
'-x+1/4,-y+1/4,z'
'x+1/4,y+1/4,-z'
'x,-y+1/4,-z+1/4'
'-x,y+1/4,z+1/4'
'-x+1/4,y,-z+1/4'
'x+1/4,-y,z+1/4'
'x,y+1/2,z+1/2'
'-x,-y+1/2,-z+1/2'
'-x+1/4,-y+3/4,z+1/2'
'x+1/4,y+3/4,-z+1/2'
'x,-y+3/4,-z+3/4'
'-x,y+3/4,z+3/4'
'-x+1/4,y+1/2,-z+3/4'
'x+1/4,-y+1/2,z+3/4'
'x+1/2,y,z+1/2'
'-x+1/2,-y,-z+1/2'
'-x+3/4,-y+1/4,z+1/2'
'x+3/4,y+1/4,-z+1/2'
'x+1/2,-y+1/4,-z+3/4'
'-x+1/2,y+1/4,z+3/4'
'-x+3/4,y,-z+3/4'
'x+3/4,-y,z+3/4'
'x+1/2,y+1/2,z'
'-x+1/2,-y+1/2,-z'
'-x+3/4,-y+3/4,z'
'x+3/4,y+3/4,-z'
'x+1/2,-y+3/4,-z+1/4'
'-x+1/2,y+3/4,z+1/4'
'-x+3/4,y+1/2,-z+1/4'
'x+3/4,-y+1/2,z+1/4'
loop_
_atom_site_label
_atom_site_type_symbol
_atom_site_fract_x
_atom_site_fract_y
_atom_site_fract_z
_atom_site_occupancy
Tm1 Tm 0.125 0.274 0.125 1
Ti1 Ti 0.125 0.125 0.256 1
Re1 Re 0.125 0.125 0.554 1
# ΔE_f in eV/f.u.: 0.92
# Energy above the lowest structure with this stoichiometry in eV per atom: 0.394